No. 1
# AlCd3Tc

A relaxed structure of AlCd3Tc (GGA-PBE, the Alexandria database).

Calculated values
Energy of formation from the pure elements: 1.15 eV per atom
Offset from the most stable computed form: 183 meV per atom
Symmetry: Pm-3m, No. 221

Cell lengths 5.042, 5.042, 5.042 Å; angles 90.00, 90.00, 90.00 degrees
Site moments in Bohr magnetons follow the coordinates.
Sites, in units of the cell vectors:
Al (0.000, 0.000, 0.000)  0.03
Tc (0.500, 0.500, 0.500)  3.28
Cd (0.000, 0.500, 0.000)  -0.02
Cd (0.500, 0.000, 0.000)  -0.02
Cd (0.000, 0.000, 0.500)  -0.03

No. 2
# CsAc2SiO5

A relaxed structure of CsAc2SiO5 (GGA-PBE, the Alexandria database).

Calculated values
Formation energy (no corrections): -2.4939 eV per atom
Symmetry: P4/mbm, No. 127

Cell lengths 5.687, 7.334, 7.334 Å; angles 90.00, 90.00, 90.00 degrees
Site moments in Bohr magnetons follow the coordinates.
Sites, in units of the cell vectors:
O (0.773, 0.617, 0.883)  0.04
O (0.773, 0.883, 0.383)  0.04
O (0.773, 0.117, 0.617)  0.04
O (0.227, 0.617, 0.883)  0.04
O (0.500, 0.000, 0.000)  0.01
O (0.227, 0.383, 0.117)  0.04
O (0.773, 0.383, 0.117)  0.04
O (0.227, 0.883, 0.383)  0.04
O (0.500, 0.500, 0.500)  0.01
O (0.227, 0.117, 0.617)  0.04
Ac (0.500, 0.316, 0.816)  0.04
Ac (0.500, 0.684, 0.184)  0.04
Ac (0.500, 0.816, 0.684)  0.04
Ac (0.500, 0.184, 0.316)  0.04
Cs (0.000, 0.500, 0.500)  0.02
Cs (0.000, 0.000, 0.000)  0.02
Si (0.000, 0.000, 0.500)  0.10
Si (0.000, 0.500, 0.000)  0.10

No. 3
# SmErTe

A relaxed structure of SmErTe (GGA-PBE, the Alexandria database).

Calculated values
Formation energy (no corrections): -0.6550 eV per atom
Offset from the most stable computed form: 118 meV per atom
Symmetry: C2/m, No. 12

Cell lengths 3.797, 6.180, 8.498 Å; angles 104.68, 90.00, 107.89 degrees
Site moments in Bohr magnetons follow the coordinates.
Sites, in units of the cell vectors:
Sm (0.816, 0.631, 0.357)  0.04
Sm (0.184, 0.369, 0.643)  0.04
Te (0.927, 0.854, 0.741)  0.00
Te (0.073, 0.146, 0.259)  0.00
Er (0.374, 0.748, 0.034)  0.06
Er (0.626, 0.252, 0.966)  0.06

No. 4
# PmB2F8

A relaxed structure of PmB2F8 (GGA-PBE, the Alexandria database).

Calculated values
Formation energy (no corrections): -2.9333 eV per atom
Symmetry: C2/m, No. 12

Cell lengths 5.627, 6.413, 6.413 Å; angles 48.28, 75.36, 75.36 degrees
Site moments in Bohr magnetons follow the coordinates.
Sites, in units of the cell vectors:
F (0.274, 0.297, 0.297)  0.00
F (0.227, 0.915, 0.345)  0.00
F (0.773, 0.655, 0.085)  0.00
F (0.593, 0.124, 0.124)  0.00
F (0.726, 0.703, 0.703)  0.00
F (0.773, 0.085, 0.655)  0.00
F (0.227, 0.345, 0.915)  0.00
F (0.407, 0.876, 0.876)  0.00
B (0.327, 0.176, 0.176)  0.00
B (0.673, 0.824, 0.824)  0.00
Pm (0.000, 0.000, 0.000)  0.51

No. 5
# Nd3InHg2

A relaxed structure of Nd3InHg2 (GGA-PBE, the Alexandria database).

Calculated values
Energy of formation from the pure elements: -0.47 eV per atom
Offset from the most stable computed form: 3 meV per atom
Symmetry: Cmmm, No. 65

Cell lengths 3.853, 5.450, 8.630 Å; angles 108.41, 90.00, 90.00 degrees
Site moments in Bohr magnetons follow the coordinates.
Sites, in units of the cell vectors:
Nd (0.500, 0.169, 0.337)  0.20
Nd (0.500, 0.831, 0.663)  0.20
Nd (0.500, 0.500, 0.000)  0.15
Hg (0.000, 0.665, 0.329)  0.02
Hg (0.000, 0.335, 0.671)  0.02
In (0.000, 0.000, 0.000)  0.01

How do the records compare in raw total energy? In the order shown, they have -2.2233 -6.8589 -4.7962 -5.9402 -3.4111 eV/atom.